A relaxed structure of Gd4YTl, computed with PBE.

abc: 6.3925 6.3925 5.5019
angles: 90.00 90.00 90.89
Closest atoms and distances in Å follow each position.
Positions (direct):
Gd 0.1791 0.8209 0.0000  1 Tl 2.92, 2 Y 3.20, 1 Gd 3.26
Gd 0.3273 0.3273 0.5000  1 Y 2.94, 1 Gd 3.10, 2 Tl 3.16
Gd 0.6727 0.6727 0.5000  1 Y 2.94, 1 Gd 3.10, 2 Tl 3.16
Gd 0.8209 0.1791 0.0000  1 Tl 2.92, 2 Y 3.20, 1 Gd 3.26
Y 0.0000 0.0000 0.5000  6 Gd 2.94-3.20
Tl 0.5000 0.5000 0.0000  6 Gd 2.92-3.16

Output
- total energy (eV/atom) = -3.9642